First-principles (PBEsol) data for a relaxed structure of SrIrRu2, as listed in Alexandria via LeMat-Bulk.

```
SrIrRu2
1.0
-2.369 0.052 -1.493
3.375 -1.650 -2.787
-1.646 -5.077 2.435
Ir Ru Sr
1 2 1
Direct
0.264 0.527 0.820
0.735 0.470 0.167
0.000 0.001 0.010
0.501 0.002 0.503
```

* theoretical density: 11.0 g/cm3
* space-group type: Cm, No. 8
* relative energy among the computed polymorphs: 0.0 meV/atom

=====

First-principles (PBEsol) data for a relaxed structure of SnPb4Se5, as listed in Alexandria via LeMat-Bulk.

```
SnPb4Se5
1.0
-0.669 4.201 -0.513
-1.026 2.434 3.374
16.415 5.274 3.906
Se Sn Pb
5 1 4
Direct
0.901 0.901 0.298
0.099 0.099 0.702
0.500 0.500 0.500
0.698 0.698 0.905
0.302 0.302 0.095
0.000 0.000 0.000
0.200 0.200 0.399
0.800 0.800 0.601
0.601 0.601 0.197
0.399 0.399 0.803
```

* energy relative to the elements, uncorrected: -0.511 eV/atom
* theoretical density: 8.0 g/cm3
* space-group type: R-3m, No. 166

=====

First-principles (PBEsol) data for a relaxed structure of Tl2CuIr, as listed in Alexandria via LeMat-Bulk.

```
Tl2CuIr
1.0
-0.274 -2.315 2.189
-2.325 -2.421 -2.852
4.432 -2.186 -1.758
Tl Ir Cu
2 1 1
Direct
0.000 0.000 0.000
0.500 0.000 0.500
0.000 0.500 0.500
0.500 0.500 0.000
```

* theoretical density: 14.9 g/cm3
* E: -4.28 eV/atom
* space-group type: Pmmm, No. 47

=====

First-principles (PBEsol) data for a relaxed structure of KW, as listed in Alexandria via LeMat-Bulk.

```
KW
1.0
-3.133 0.510 0.944
0.156 -2.666 1.958
3.494 6.244 8.224
K W
2 2
Direct
0.000 0.500 0.196
0.500 0.000 0.804
0.000 0.500 0.548
0.500 0.000 0.452
```

* theoretical density: 6.2 g/cm3
* space-group type: P4/nmm, No. 129
* relative energy among the computed polymorphs: 0.0 meV/atom